Zr2TaMnO: optimized geometry, GGA+U.

Lattice parameters (Å, degrees): 4.496 4.496 4.256 90.00 90.00 90.00
Positions (direct):
1 Zr 0.000 0.500 0.000
2 Zr 0.500 0.000 0.000
3 Ta 0.000 0.000 0.500
4 Mn 0.500 0.500 0.500
5 O 0.500 0.500 0.000

- Symmetry: No. 123
- Calculated total energy: -44.74 eV/cell
- Calculated density: 8.4 g cm⁻³
- Fermi-level density of states: 0.700 states/eV/atom